1.
The following is a DFT calculation (PBE) of a relaxed CePmHo2Er4 crystal.

Cell: 5.0021 5.0162 9.9298 Å, 90.00 90.00 90.00°
With the nearest neighbours (Å) after each atom.
Fractional coordinates of all 8 atoms:
Ce (0.0000, 0.0000, 0.0000)  8 Er 3.50-3.51, 4 Ho 3.54
Pm (0.5000, 0.5000, 0.5000)  4 Ho 3.54, 8 Er 3.55
Ho (0.0000, 0.0000, 0.5000)  4 Pm 3.54, 8 Er 3.54-3.55
Ho (0.5000, 0.5000, 0.0000)  8 Er 3.50-3.51, 4 Ce 3.54
Er (0.0000, 0.5000, 0.2469)  4 Ho 3.50-3.55, 2 Ce 3.51, 4 Er 3.54, 2 Pm 3.55
Er (0.0000, 0.5000, 0.7531)  4 Ho 3.50-3.55, 2 Ce 3.51, 4 Er 3.54, 2 Pm 3.55
Er (0.5000, 0.0000, 0.2472)  2 Ce 3.50, 4 Ho 3.51-3.54, 4 Er 3.54, 2 Pm 3.55
Er (0.5000, 0.0000, 0.7528)  2 Ce 3.50, 4 Ho 3.51-3.54, 4 Er 3.54, 2 Pm 3.55

Values from the calculation:
DFT total energy: -4.714 eV/atom
Space-group type: Pmmm (47)

***

2.
The following is a DFT calculation (PBE) of a relaxed CePmHoEr crystal.

Cell: 5.6774 5.6774 5.6774 Å, 60.00 60.00 60.00°
With the nearest neighbours (Å) after each atom.
Fractional coordinates of all 4 atoms:
Ce (0.0000, 0.0000, 0.0000)  4 Er 3.48, 4 Pm 3.48
Pm (0.2500, 0.2500, 0.2500)  4 Ce 3.48, 4 Ho 3.48
Ho (0.5000, 0.5000, 0.5000)  4 Er 3.48, 4 Pm 3.48
Er (0.7500, 0.7500, 0.7500)  4 Ho 3.48, 4 Ce 3.48

Values from the calculation:
DFT total energy: -4.762 eV/atom
Space-group type: F-43m (216)

***

3.
The following is a DFT calculation (PBE) of a relaxed Ce2PmHo6Er3 crystal.

Cell: 6.1076 6.1076 11.6863 Å, 95.00 95.00 119.98°
With the nearest neighbours (Å) after each atom.
Fractional coordinates of all 12 atoms:
Ce (0.1667, 0.8333, 0.0000)  3 Pm 3.53, 3 Ce 3.53, 6 Ho 3.53
Ce (0.8333, 0.1667, 0.0000)  3 Pm 3.53, 3 Ce 3.53, 6 Ho 3.53
Pm (0.5000, 0.5000, 0.0000)  6 Ce 3.53, 6 Ho 3.54
Ho (0.0799, 0.4157, 0.7490)  3 Er 3.51-3.52, 6 Ho 3.51-3.55, 2 Ce 3.53, 1 Pm 3.54
Ho (0.2484, 0.2484, 0.2510)  3 Er 3.51-3.52, 6 Ho 3.51-3.55, 2 Ce 3.53, 1 Pm 3.54
Ho (0.4157, 0.0799, 0.7490)  3 Er 3.51-3.52, 6 Ho 3.51-3.55, 2 Ce 3.53, 1 Pm 3.54
Ho (0.5843, 0.9201, 0.2510)  3 Er 3.51-3.52, 6 Ho 3.51-3.55, 2 Ce 3.53, 1 Pm 3.54
Ho (0.7516, 0.7516, 0.7490)  3 Er 3.51-3.52, 6 Ho 3.51-3.55, 2 Ce 3.53, 1 Pm 3.54
Ho (0.9201, 0.5843, 0.2510)  3 Er 3.51-3.52, 6 Ho 3.51-3.55, 2 Ce 3.53, 1 Pm 3.54
Er (0.0000, 0.0000, 0.5000)  6 Ho 3.51-3.52, 6 Er 3.52-3.53
Er (0.3337, 0.6663, 0.5000)  6 Ho 3.51-3.52, 6 Er 3.52-3.53
Er (0.6663, 0.3337, 0.5000)  6 Ho 3.51-3.52, 6 Er 3.52-3.53

Values from the calculation:
DFT total energy: -4.764 eV/atom
Space-group type: C2/m (12)

***

4.
The following is a DFT calculation (PBE) of a relaxed CePm3Ho6Er2 crystal.

Cell: 6.1595 6.1595 11.7568 Å, 95.01 95.01 119.98°
With the nearest neighbours (Å) after each atom.
Fractional coordinates of all 12 atoms:
Ce (0.0000, 0.0000, 0.0000)  6 Ho 3.51, 6 Er 3.56
Pm (0.1676, 0.8324, 0.5000)  6 Pm 3.55-3.58, 6 Ho 3.58
Pm (0.5000, 0.5000, 0.5000)  6 Pm 3.55-3.56, 6 Ho 3.58-3.59
Pm (0.8324, 0.1676, 0.5000)  6 Pm 3.55-3.58, 6 Ho 3.58
Ho (0.0827, 0.4140, 0.2468)  1 Ce 3.51, 2 Er 3.52, 6 Ho 3.53-3.57, 3 Pm 3.58
Ho (0.2490, 0.2490, 0.7531)  1 Ce 3.51, 2 Er 3.52, 6 Ho 3.54-3.57, 3 Pm 3.58-3.59
Ho (0.4140, 0.0827, 0.2468)  1 Ce 3.51, 2 Er 3.52, 6 Ho 3.53-3.57, 3 Pm 3.58
Ho (0.5860, 0.9173, 0.7532)  1 Ce 3.51, 2 Er 3.52, 6 Ho 3.53-3.57, 3 Pm 3.58
Ho (0.7510, 0.7510, 0.2469)  1 Ce 3.51, 2 Er 3.52, 6 Ho 3.54-3.57, 3 Pm 3.58-3.59
Ho (0.9173, 0.5860, 0.7532)  1 Ce 3.51, 2 Er 3.52, 6 Ho 3.53-3.57, 3 Pm 3.58
Er (0.3333, 0.6667, 0.0000)  6 Ho 3.52, 3 Ce 3.56, 3 Er 3.56
Er (0.6667, 0.3333, 0.0000)  6 Ho 3.52, 3 Ce 3.56, 3 Er 3.56

Values from the calculation:
DFT total energy: -4.697 eV/atom
Space-group type: C2/m (12)

***

5.
The following is a DFT calculation (PBE) of a relaxed CePm2Ho5Er crystal.

Cell: 9.8702 9.8702 9.8702 Å, 128.78 128.78 75.36°
With the nearest neighbours (Å) after each atom.
Fractional coordinates of all 18 atoms:
Ce (0.2500, 0.7500, 0.5000)  4 Ho 2.99
Ce (0.7500, 0.2500, 0.5000)  4 Ho 2.99
Pm (0.1206, 0.6206, 0.7413)  1 Pm 2.91, 2 Ho 3.06
Pm (0.3794, 0.1206, 0.5000)  1 Pm 2.91, 2 Ho 3.06
Pm (0.6206, 0.8794, 0.5000)  1 Pm 2.91, 2 Ho 3.06
Pm (0.8794, 0.3794, 0.2587)  1 Pm 2.91, 2 Ho 3.06
Ho (0.0000, 0.0000, 0.0000)  4 Pm 3.40, 8 Ho 3.78
Ho (0.0629, 0.1547, 0.5000)  1 Ce 2.99, 1 Pm 3.06
Ho (0.1547, 0.6547, 0.0918)  1 Ce 2.99, 1 Pm 3.06
Ho (0.3453, 0.4371, 0.5000)  1 Ce 2.99, 1 Pm 3.06
Ho (0.4371, 0.9371, 0.0918)  1 Ce 2.99, 1 Pm 3.06
Ho (0.5000, 0.5000, 0.0000)  4 Pm 3.40, 8 Ho 3.78
Ho (0.5629, 0.0629, 0.9082)  1 Ce 2.99, 1 Pm 3.06
Ho (0.6547, 0.5629, 0.5000)  1 Ce 2.99, 1 Pm 3.06
Ho (0.8453, 0.3453, 0.9082)  1 Ce 2.99, 1 Pm 3.06
Ho (0.9371, 0.8453, 0.5000)  1 Ce 2.99, 1 Pm 3.06
Er (0.2500, 0.2500, 0.0000)  10 Ho 3.51-3.91
Er (0.7500, 0.7500, 0.0000)  10 Ho 3.51-3.91

Values from the calculation:
DFT total energy: -4.490 eV/atom
Space-group type: I4/mcm (140)

***

6.
The following is a DFT calculation (PBE) of a relaxed CePmHo2Er5 crystal.

Cell: 11.0321 11.0321 9.5325 Å, 90.00 90.00 150.29°
With the nearest neighbours (Å) after each atom.
Fractional coordinates of all 18 atoms:
Ce (0.1949, 0.8051, 0.5000)  2 Ho 3.28-3.35, 5 Er 3.34-3.45, 2 Pm 3.65
Ce (0.8051, 0.1949, 0.0000)  2 Ho 3.28-3.35, 5 Er 3.34-3.45, 2 Pm 3.65
Pm (0.4035, 0.5965, 0.9011)  3 Er 3.05-3.39
Pm (0.5965, 0.4035, 0.4011)  3 Er 3.05-3.39
Ho (0.1130, 0.8870, 0.7996)  9 Er 3.26-3.62, 1 Ce 3.35
Ho (0.1370, 0.8630, 0.1817)  1 Ce 3.28, 3 Er 3.30-3.63, 2 Pm 3.62
Ho (0.8630, 0.1370, 0.6817)  1 Ce 3.28, 3 Er 3.30-3.63, 2 Pm 3.62
Ho (0.8870, 0.1130, 0.2996)  9 Er 3.26-3.62, 1 Ce 3.35
Er (0.0130, 0.9870, 0.4928)  2 Ho 3.26-3.62, 2 Pm 3.45, 2 Er 3.59
Er (0.2662, 0.7338, 0.8120)  1 Pm 3.05, 1 Ho 3.27, 1 Ce 3.34
Er (0.3070, 0.6930, 0.1941)  3 Ce 3.38-3.77, 5 Er 3.42-3.74, 3 Ho 3.45-3.63, 1 Pm 3.47
Er (0.3941, 0.6059, 0.5177)  3 Er 3.26-3.60, 4 Ho 3.30-3.51
Er (0.4712, 0.5288, 0.2225)  2 Pm 3.17-3.39, 3 Er 3.26-3.51, 2 Ho 3.43
Er (0.5288, 0.4712, 0.7225)  2 Pm 3.17-3.39, 3 Er 3.26-3.51, 2 Ho 3.43
Er (0.6059, 0.3941, 0.0177)  3 Er 3.26-3.60, 4 Ho 3.30-3.51
Er (0.6930, 0.3070, 0.6941)  3 Ce 3.38-3.77, 5 Er 3.42-3.74, 3 Ho 3.45-3.63, 1 Pm 3.47
Er (0.7338, 0.2662, 0.3120)  1 Pm 3.05, 1 Ho 3.27, 1 Ce 3.34
Er (0.9870, 0.0130, 0.9928)  2 Ho 3.26-3.62, 2 Pm 3.45, 2 Er 3.59

Values from the calculation:
DFT total energy: -4.563 eV/atom
Space-group type: Cmc2_1 (36)

***

7.
The following is a DFT calculation (PBE) of a relaxed CePm2HoEr crystal.

Cell: 6.0486 6.7763 8.5265 Å, 78.31 71.45 88.45°
With the nearest neighbours (Å) after each atom.
Fractional coordinates of all 10 atoms:
Ce (0.0000, 0.0000, 0.0000)  2 Ce 3.39, 4 Ho 3.43-3.77, 4 Pm 3.51-3.68, 2 Er 3.72
Ce (0.0000, 0.5000, 0.0000)  2 Pm 3.28, 2 Ce 3.39, 2 Er 3.51
Pm (0.2800, 0.3042, 0.6030)  4 Pm 3.37-3.57, 4 Er 3.44-3.69, 2 Ce 3.51-3.76, 2 Ho 3.74-3.75
Pm (0.3075, 0.6259, 0.2224)  1 Ce 3.28, 3 Pm 3.37-3.48, 3 Ho 3.45-3.49, 1 Er 3.54
Pm (0.6925, 0.3741, 0.7776)  1 Ce 3.28, 3 Pm 3.37-3.48, 3 Ho 3.45-3.49, 1 Er 3.54
Pm (0.7200, 0.6958, 0.3970)  4 Pm 3.37-3.57, 4 Er 3.44-3.69, 2 Ce 3.51-3.76, 2 Ho 3.74-3.75
Ho (0.4434, 0.1315, 0.1927)  2 Ce 3.43-3.77, 5 Pm 3.45-3.75, 3 Er 3.46-3.61
Ho (0.5566, 0.8685, 0.8073)  2 Ce 3.43-3.77, 5 Pm 3.45-3.75, 3 Er 3.46-3.61
Er (0.1416, 0.8164, 0.5983)  1 Er 3.44, 6 Pm 3.44-3.83, 3 Ho 3.46-3.61, 2 Ce 3.51-3.72
Er (0.8584, 0.1836, 0.4017)  1 Er 3.44, 6 Pm 3.44-3.83, 3 Ho 3.46-3.61, 2 Ce 3.51-3.72

Values from the calculation:
DFT total energy: -4.798 eV/atom
Space-group type: P-1 (2)

***

8.
The following is a DFT calculation (PBE) of a relaxed CePm2HoEr5 crystal.

Cell: 9.8264 9.8264 9.8264 Å, 128.45 128.45 75.89°
With the nearest neighbours (Å) after each atom.
Fractional coordinates of all 18 atoms:
Ce (0.2500, 0.7500, 0.5000)  4 Er 3.00
Ce (0.7500, 0.2500, 0.5000)  4 Er 3.00
Pm (0.1198, 0.6198, 0.7395)  1 Pm 2.89, 2 Er 3.04
Pm (0.3802, 0.1198, 0.5000)  1 Pm 2.89, 2 Er 3.04
Pm (0.6198, 0.8802, 0.5000)  1 Pm 2.89, 2 Er 3.04
Pm (0.8802, 0.3802, 0.2605)  1 Pm 2.89, 2 Er 3.04
Ho (0.2500, 0.2500, 0.0000)  10 Er 3.51-3.87
Ho (0.7500, 0.7500, 0.0000)  10 Er 3.51-3.87
Er (0.0000, 0.0000, 0.0000)  4 Pm 3.41, 8 Er 3.76
Er (0.0645, 0.1546, 0.5000)  1 Ce 3.00, 1 Pm 3.04
Er (0.1546, 0.6546, 0.0902)  1 Ce 3.00, 1 Pm 3.04
Er (0.3454, 0.4355, 0.5000)  1 Ce 3.00, 1 Pm 3.04
Er (0.4355, 0.9355, 0.0902)  1 Ce 3.00, 1 Pm 3.04
Er (0.5000, 0.5000, 0.0000)  4 Pm 3.41, 8 Er 3.76
Er (0.5645, 0.0645, 0.9098)  1 Ce 3.00, 1 Pm 3.04
Er (0.6546, 0.5645, 0.5000)  1 Ce 3.00, 1 Pm 3.04
Er (0.8454, 0.3454, 0.9098)  1 Ce 3.00, 1 Pm 3.04
Er (0.9355, 0.8454, 0.5000)  1 Ce 3.00, 1 Pm 3.04

Values from the calculation:
DFT total energy: -4.483 eV/atom
Space-group type: I4/mcm (140)

***

9.
The following is a DFT calculation (PBE) of a relaxed CePmHo2Er crystal.

Cell: 5.8447 7.7482 7.1663 Å, 90.00 90.00 90.00°
With the nearest neighbours (Å) after each atom.
Fractional coordinates of all 10 atoms:
Ce (0.0000, 0.0000, 0.0000)  2 Ce 2.92, 2 Er 3.14
Ce (0.5000, 0.0000, 0.0000)  2 Ce 2.92, 2 Er 3.14
Pm (0.2500, 0.5000, 0.1632)  6 Ho 3.53-3.83, 2 Pm 3.74
Pm (0.7500, 0.5000, 0.8368)  6 Ho 3.53-3.83, 2 Pm 3.74
Ho (0.2500, 0.2916, 0.6786)  1 Er 3.07, 1 Ho 3.23
Ho (0.2500, 0.7084, 0.6786)  1 Er 3.07, 1 Ho 3.23
Ho (0.7500, 0.2916, 0.3214)  1 Er 3.07, 1 Ho 3.23
Ho (0.7500, 0.7084, 0.3214)  1 Er 3.07, 1 Ho 3.23
Er (0.2500, 0.0000, 0.3882)  2 Ho 3.07, 2 Ce 3.14, 2 Er 3.33
Er (0.7500, 0.0000, 0.6118)  2 Ho 3.07, 2 Ce 3.14, 2 Er 3.33

Values from the calculation:
DFT total energy: -4.590 eV/atom
Space-group type: Pmma (51)

***

10.
The following is a DFT calculation (PBE) of a relaxed CePrHo2Er crystal.

Cell: 5.8518 7.7292 7.2596 Å, 90.00 90.00 90.00°
With the nearest neighbours (Å) after each atom.
Fractional coordinates of all 10 atoms:
Ce (0.0000, 0.0000, 0.0000)  2 Ce 2.93, 2 Er 3.15
Ce (0.5000, 0.0000, 0.0000)  2 Ce 2.93, 2 Er 3.15
Pr (0.2500, 0.5000, 0.1642)  6 Ho 3.54-3.90, 2 Pr 3.77
Pr (0.7500, 0.5000, 0.8358)  6 Ho 3.54-3.90, 2 Pr 3.77
Ho (0.2500, 0.2893, 0.6755)  1 Er 3.08, 1 Ho 3.26
Ho (0.2500, 0.7107, 0.6755)  1 Er 3.08, 1 Ho 3.26
Ho (0.7500, 0.2893, 0.3245)  1 Er 3.08, 1 Ho 3.26
Ho (0.7500, 0.7107, 0.3245)  1 Er 3.08, 1 Ho 3.26
Er (0.2500, 0.0000, 0.3842)  2 Ho 3.08, 2 Ce 3.15, 2 Er 3.37
Er (0.7500, 0.0000, 0.6158)  2 Ho 3.08, 2 Ce 3.15, 2 Er 3.37

Values from the calculation:
DFT total energy: -4.603 eV/atom
Space-group type: Pmma (51)

***

11.
The following is a DFT calculation (PBE) of a relaxed CePrHoEr crystal.

Cell: 5.6855 5.6855 5.6855 Å, 60.00 60.00 60.00°
With the nearest neighbours (Å) after each atom.
Fractional coordinates of all 4 atoms:
Ce (0.0000, 0.0000, 0.0000)  4 Ho 3.48, 4 Er 3.48
Pr (0.5000, 0.5000, 0.5000)  4 Ho 3.48, 4 Er 3.48
Ho (0.2500, 0.2500, 0.2500)  4 Pr 3.48, 4 Ce 3.48
Er (0.7500, 0.7500, 0.7500)  4 Ce 3.48, 4 Pr 3.48

Values from the calculation:
DFT total energy: -4.806 eV/atom
Space-group type: F-43m (216)

***

12.
The following is a DFT calculation (PBE) of a relaxed CePrHoEr2 crystal.

Cell: 5.8297 7.6974 7.2994 Å, 90.00 90.00 90.00°
With the nearest neighbours (Å) after each atom.
Fractional coordinates of all 10 atoms:
Ce (0.0000, 0.0000, 0.0000)  2 Ce 2.91, 2 Ho 3.15
Ce (0.5000, 0.0000, 0.0000)  2 Ce 2.91, 2 Ho 3.15
Pr (0.2500, 0.5000, 0.1637)  6 Er 3.54-3.92, 2 Pr 3.77
Pr (0.7500, 0.5000, 0.8363)  6 Er 3.54-3.92, 2 Pr 3.77
Ho (0.2500, 0.0000, 0.3820)  2 Er 3.08, 2 Ce 3.15, 2 Ho 3.39
Ho (0.7500, 0.0000, 0.6180)  2 Er 3.08, 2 Ce 3.15, 2 Ho 3.39
Er (0.2500, 0.2889, 0.6743)  1 Ho 3.08, 1 Er 3.25
Er (0.2500, 0.7111, 0.6743)  1 Ho 3.08, 1 Er 3.25
Er (0.7500, 0.2889, 0.3257)  1 Ho 3.08, 1 Er 3.25
Er (0.7500, 0.7111, 0.3257)  1 Ho 3.08, 1 Er 3.25

Values from the calculation:
DFT total energy: -4.596 eV/atom
Space-group type: Pmma (51)

***

| no. | magnetic moment (μB per cell) | D(E_F) (states/eV/atom) |
| --- | --- | --- |
| 1 | 0.97 | 1.619 |
| 2 | 2.81 | 2.777 |
| 3 | 1.80 | 1.849 |
| 4 | 1.13 | 1.524 |
| 5 | 1.87 | 1.674 |
| 6 | 1.51 | 1.766 |
| 7 | 2.43 | 2.156 |
| 8 | 1.91 | 1.630 |
| 9 | 3.28 | 1.919 |
| 10 | 3.19 | 1.969 |
| 11 | 0.72 | 2.517 |
| 12 | 3.08 | 1.976 |